No. 1
Compound: Li2RePt
Source: Alexandria via LeMat-Bulk
Functional: PBE
Structure: relaxed

Summary:
- ΔE to the lowest computed polymorph: 725 meV/atom
- Energy relative to the elements: 0.60 eV per atom
- DFT total energy: -0.366 Ry per atom
- Volume: 14.45 A^3/atom
- Crystal system: tetragonal
- DOS(E_F): 2.32 states/eV/f.u.
- Total magnetization: 0.000 μB/cell

a b c (Å): 6.789 6.789 5.017
angles (deg): 90.00 90.00 90.00
Fractional coordinates of all 16 atoms:
Li: 0.236 0.250 0.125
Li: 0.250 0.736 0.375
Li: 0.250 0.764 0.875
Li: 0.264 0.250 0.625
Li: 0.736 0.750 0.625
Li: 0.750 0.236 0.875
Li: 0.750 0.264 0.375
Li: 0.764 0.750 0.125
Re: 0.000 0.000 0.500
Re: 0.000 0.500 0.750
Re: 0.500 0.000 0.250
Re: 0.500 0.500 0.000
Pt: 0.000 0.000 0.000
Pt: 0.000 0.500 0.250
Pt: 0.500 0.000 0.750
Pt: 0.500 0.500 0.500



No. 2
Compound: Ce3Ga2Ir
Source: Alexandria via LeMat-Bulk
Functional: PBE
Structure: relaxed

Summary:
- Energy relative to the elements: -0.56 eV per atom
- DFT total energy: -0.442 Ry per atom
- Volume: 21.50 A^3/atom
- Crystal system: orthorhombic
- DOS(E_F): 8.89 states/eV/f.u.
- Total magnetization: 0.000 μB/cell

a b c (Å): 4.498 13.403 4.280
angles (deg): 90.00 90.00 90.00
Fractional coordinates of all 12 atoms:
Ce: 0.000 0.000 0.000
Ce: 0.000 0.342 0.000
Ce: 0.000 0.658 0.000
Ce: 0.500 0.158 0.000
Ce: 0.500 0.500 0.000
Ce: 0.500 0.842 0.000
Ga: 0.000 0.166 0.500
Ga: 0.000 0.834 0.500
Ga: 0.500 0.334 0.500
Ga: 0.500 0.666 0.500
Ir: 0.000 0.500 0.500
Ir: 0.500 0.000 0.500



No. 3
Compound: LaBeRh2
Source: Alexandria via LeMat-Bulk
Functional: PBE
Structure: relaxed

Summary:
- Energy relative to the elements: 0.02 eV per atom
- DFT total energy: -0.427 Ry per atom
- Volume: 17.54 A^3/atom
- Crystal system: cubic
- DOS(E_F): 4.61 states/eV/f.u.
- Total magnetization: 0.000 μB/cell

a b c (Å): 6.548 6.548 6.548
angles (deg): 90.00 90.00 90.00
Fractional coordinates of all 16 atoms:
La: 0.000 0.000 0.000
La: 0.000 0.500 0.500
La: 0.500 0.000 0.500
La: 0.500 0.500 0.000
Be: 0.250 0.250 0.750
Be: 0.250 0.750 0.250
Be: 0.750 0.250 0.250
Be: 0.750 0.750 0.750
Rh: 0.000 0.000 0.500
Rh: 0.000 0.500 0.000
Rh: 0.250 0.250 0.250
Rh: 0.250 0.750 0.750
Rh: 0.500 0.000 0.000
Rh: 0.500 0.500 0.500
Rh: 0.750 0.250 0.750
Rh: 0.750 0.750 0.250



Question: DFT total energy of number 2 (Ce3Ga2Ir)?
Answer: -0.442 Ry per atom



Question: Which of these has the highest DOS(E_F)?
Answer: Ce3Ga2Ir